The following is a PBE with a Hubbard U calculation of an optimized crystal structure of LaZnFeO2, from Alexandria via LeMat-Bulk.

Cell lengths 4.048, 4.048, 5.517 Å; angles 90.00, 90.00, 90.00 degrees
Space group P4/mmm (No. 123)
Inequivalent atoms, fractional coordinates:
La  0.000  0.000  0.000
Zn  0.500  0.500  0.000
Fe  0.000  0.000  0.500
O  0.000  0.500  0.500

Results
The density of states at the Fermi level comes out at 2.1 states/eV/cell. As for the electronic total energy: -4.67 eV/atom. The calculation puts the size of the total moment at 0.77 μB per atom.